[1]
This record from Alexandria via LeMat-Bulk describes a relaxed structure of ErCdSi2Pt5. The functional is PBE.

Space group   P4/mmm
Total magnetization   0.00 μB/f.u.
Energy   -53.7 eV/f.u.
Raw formation energy   -794 meV per atom
DOS at the Fermi energy   0.391 states/eV per atom

Cell lengths 4.154, 4.154, 8.904 Å; angles 90.00, 90.00, 90.00 degrees
Fractional coordinates of all 9 atoms:
Pt 0.000 0.500 0.736
Pt 0.500 0.000 0.264
Pt 0.500 0.000 0.736
Pt 0.500 0.500 0.500
Pt 0.000 0.500 0.264
Er 0.000 0.000 0.500
Si 0.500 0.500 0.129
Si 0.500 0.500 0.871
Cd 0.000 0.000 0.000

***

[2]
This record from Alexandria via LeMat-Bulk describes a relaxed structure of NaPC2. The functional is PBE.

Space group   I-42d
Total magnetization   0.00 μB/f.u.
Energy   -21.7 eV/f.u.
DOS at the Fermi energy   0.048 states/eV per atom
Formation enthalpy at 0 K   19.93 kcal/mol of atoms

Cell lengths 4.723, 4.723, 5.824 Å; angles 66.08, 66.08, 90.00 degrees
Fractional coordinates of all 8 atoms:
Na 0.250 0.750 0.500
Na 0.500 0.500 0.000
C 0.955 0.625 0.250
C 0.875 0.045 0.750
C 0.795 0.125 0.250
C 0.375 0.205 0.750
P 0.750 0.250 0.500
P 0.000 0.000 0.000

***

[3]
This record from Alexandria via LeMat-Bulk describes a relaxed structure of SnRh3S. The functional is PBE.

Space group   Cmcm
Total magnetization   0.00 μB/f.u.
Energy   -31.7 eV/f.u.
Raw formation energy   -310 meV per atom
Energy above the lowest structure with this stoichiometry   0.0 kJ per mole of atoms
DOS at the Fermi energy   0.431 states/eV per atom

Cell lengths 5.867, 7.516, 7.516 Å; angles 89.48, 90.00, 90.00 degrees
Fractional coordinates of all 20 atoms:
Sn 0.250 0.995 0.005
Sn 0.750 0.005 0.995
Sn 0.750 0.656 0.344
Sn 0.250 0.344 0.656
Rh 0.502 0.687 0.036
Rh 0.502 0.964 0.313
Rh 0.998 0.964 0.313
Rh 0.498 0.036 0.687
Rh 0.500 0.357 0.357
Rh 0.498 0.313 0.964
Rh 0.000 0.357 0.357
Rh 0.002 0.313 0.964
Rh 0.000 0.643 0.643
Rh 0.500 0.643 0.643
Rh 0.002 0.036 0.687
Rh 0.998 0.687 0.036
S 0.750 0.147 0.468
S 0.250 0.468 0.147
S 0.750 0.532 0.853
S 0.250 0.853 0.532

***

[4]
This record from Alexandria via LeMat-Bulk describes a relaxed structure of Dy6YEr2Sc. The functional is PBE.

Space group   C2/c
Total magnetization   0.00 μB/f.u.
Energy   -48.3 eV/f.u.
DOS at the Fermi energy   1.298 states/eV per atom
Formation enthalpy at 0 K   2.89 kcal/mol of atoms

Cell lengths 9.364, 8.678, 8.678 Å; angles 117.60, 93.59, 93.59 degrees
Fractional coordinates of all 20 atoms:
Sc 0.750 0.586 0.414
Sc 0.250 0.414 0.586
Er 0.954 0.692 0.799
Er 0.046 0.308 0.201
Er 0.546 0.201 0.308
Er 0.454 0.799 0.692
Y 0.750 0.022 0.978
Y 0.250 0.978 0.022
Dy 0.690 0.007 0.564
Dy 0.116 0.709 0.495
Dy 0.616 0.495 0.709
Dy 0.445 0.245 0.872
Dy 0.945 0.872 0.245
Dy 0.190 0.564 0.007
Dy 0.884 0.291 0.505
Dy 0.810 0.436 0.993
Dy 0.055 0.128 0.755
Dy 0.310 0.993 0.436
Dy 0.384 0.505 0.291
Dy 0.555 0.755 0.128

***

[5]
This record from Alexandria via LeMat-Bulk describes a relaxed structure of BaMgCd2S4. The functional is PBE.

Space group   I-42m
Total magnetization   0.00 μB/f.u.
Energy   -30.7 eV/f.u.
Raw formation energy   -1109 meV per atom

Cell lengths 6.887, 6.547, 6.547 Å; angles 63.47, 58.27, 58.27 degrees
Fractional coordinates of all 8 atoms:
Cd 0.750 0.750 0.750
Cd 0.250 0.250 0.250
S 0.138 0.862 0.445
S 0.555 0.445 0.862
S 0.862 0.555 0.138
S 0.445 0.138 0.555
Mg 0.500 0.500 0.500
Ba 0.000 0.000 0.000

***

[6]
This record from Alexandria via LeMat-Bulk describes a relaxed structure of ReTe2SeN. The functional is PBE.

Space group   P4/mmm
Total magnetization   0.00 μB/f.u.
Energy   -28.6 eV/f.u.
Raw formation energy   392 meV per atom
Energy above the lowest structure with this stoichiometry   0.0 kJ per mole of atoms
DOS at the Fermi energy   0.852 states/eV per atom

Cell lengths 5.376, 5.376, 3.757 Å; angles 90.00, 90.00, 90.00 degrees
Fractional coordinates of all 5 atoms:
Se 0.500 0.500 0.500
Re 0.000 0.000 0.000
N 0.000 0.000 0.500
Te 0.000 0.500 0.000
Te 0.500 0.000 0.000

***

[7]
This record from Alexandria via LeMat-Bulk describes a relaxed structure of AlCr2Re. The functional is PBE.

Space group   Cmm2
Total magnetization   0.00 μB/f.u.
Energy   -35.3 eV/f.u.
DOS at the Fermi energy   0.615 states/eV per atom
Formation enthalpy at 0 K   0.67 kcal/mol of atoms

Cell lengths 2.633, 2.633, 8.230 Å; angles 90.00, 90.00, 111.03 degrees
Fractional coordinates of all 4 atoms:
Cr 0.500 0.500 0.237
Cr 0.000 0.000 0.012
Al 0.500 0.500 0.760
Re 0.000 0.000 0.491

***

[8]
This record from Alexandria via LeMat-Bulk describes a relaxed structure of Tc2OsW. The functional is PBE.

Space group   P4mm
Total magnetization   0.00 μB/f.u.
Energy   -43.8 eV/f.u.
Energy above the lowest structure with this stoichiometry   20.5 kJ per mole of atoms
DOS at the Fermi energy   0.691 states/eV per atom
Formation enthalpy at 0 K   6.29 kcal/mol of atoms

Cell lengths 3.204, 3.204, 5.942 Å; angles 90.00, 90.00, 90.00 degrees
Fractional coordinates of all 4 atoms:
Os 0.500 0.500 0.739
Tc 0.500 0.500 0.224
Tc 0.000 0.000 0.032
W 0.000 0.000 0.504

***

Which of these has the highest energy? NaPC2

***

Which of these has the lowest energy? ErCdSi2Pt5